# Zr2In2Co PBE optimized geometry
# calculated formation energy: 0.080 eV per atom
# energy above the lowest structure with this stoichiometry: 0.078 eV per atom
data_Zr2In2Co
_symmetry_space_group_name_H-M 'P 4/m b m'
_symmetry_Int_Tables_number 127
_symmetry_space_group_name_Hall '-P 4 2ab'
_cell_length_a 6.640
_cell_length_b 6.640
_cell_length_c 4.992
_cell_angle_alpha 90.00
_cell_angle_beta 90.00
_cell_angle_gamma 90.00
loop_
_atom_site_label
_atom_site_fract_x
_atom_site_fract_y
_atom_site_fract_z
_atom_site_occupancy
Zr1 0.163 0.337 0.000 1
In1 0.159 0.659 0.500 1
Co1 0.000 0.000 0.000 1

# La4PmSm6 PBE optimized geometry
# calculated formation energy: 0.278 eV per atom
# energy above the lowest structure with this stoichiometry: 0.115 eV per atom
data_La4PmSm6
_symmetry_space_group_name_H-M 'I -4 2 m'
_symmetry_Int_Tables_number 121
_symmetry_space_group_name_Hall 'I -4 2'
_cell_length_a 6.919
_cell_length_b 6.919
_cell_length_c 16.733
_cell_angle_alpha 90.00
_cell_angle_beta 90.00
_cell_angle_gamma 90.00
loop_
_atom_site_label
_atom_site_fract_x
_atom_site_fract_y
_atom_site_fract_z
_atom_site_occupancy
La1 0.190 0.190 0.178 1
Pm1 0.000 0.000 0.000 1
Sm1 0.000 0.500 0.000 1
Sm2 0.171 0.171 0.386 1

# CaIn16Hg12 PBE optimized geometry
# calculated formation energy: -0.029 eV per atom
data_CaIn16Hg12
_symmetry_space_group_name_H-M 'C 1 m 1'
_symmetry_Int_Tables_number 8
_cell_length_a 11.632
_cell_length_b 15.673
_cell_length_c 9.558
_cell_angle_alpha 90.00
_cell_angle_beta 117.98
_cell_angle_gamma 90.00
loop_
_symmetry_equiv_pos_as_xyz
'x,y,z'
'x,-y,z'
'x+1/2,y+1/2,z'
'x+1/2,-y+1/2,z'
loop_
_atom_site_label
_atom_site_fract_x
_atom_site_fract_y
_atom_site_fract_z
_atom_site_occupancy
Ca1 0.000 0.000 0.000 1
In1 0.098 0.211 0.016 1
In2 0.230 0.500 0.418 1
In3 0.249 0.356 0.700 1
In4 0.300 0.295 0.396 1
In5 0.301 0.000 0.686 1
In6 0.315 0.000 0.051 1
In7 0.362 0.342 0.111 1
In8 0.470 0.171 0.693 1
In9 0.482 0.160 0.302 1
In10 0.488 0.500 0.369 1
Hg1 0.006 0.500 0.520 1
Hg2 0.012 0.097 0.712 1
Hg3 0.082 0.403 0.074 1
Hg4 0.119 0.182 0.509 1
Hg5 0.196 0.500 0.890 1
Hg6 0.230 0.097 0.308 1
Hg7 0.300 0.182 0.886 1

# TiPOsO2 PBE optimized geometry
# energy relative to the elements, uncorrected: -0.483 eV/atom
# energy above the lowest structure with this stoichiometry: 0.119 eV per atom
data_TiPOsO2
_symmetry_space_group_name_H-M 'P 4/m m m'
_symmetry_Int_Tables_number 123
_symmetry_space_group_name_Hall '-P 4 2'
_cell_length_a 3.747
_cell_length_b 3.747
_cell_length_c 5.299
_cell_angle_alpha 90.00
_cell_angle_beta 90.00
_cell_angle_gamma 90.00
loop_
_atom_site_label
_atom_site_fract_x
_atom_site_fract_y
_atom_site_fract_z
_atom_site_occupancy
Ti1 0.000 0.000 0.000 1
P1 0.500 0.500 0.000 1
Os1 0.500 0.500 0.500 1
O1 0.000 0.500 0.500 1

# HoErSbO2 PBE optimized geometry
# energy relative to the elements, uncorrected: -2.732 eV/atom
data_HoErSbO2
_symmetry_space_group_name_H-M 'I 4 m m'
_symmetry_Int_Tables_number 107
_symmetry_space_group_name_Hall 'I 4 -2'
_cell_length_a 3.830
_cell_length_b 3.830
_cell_length_c 13.268
_cell_angle_alpha 90.00
_cell_angle_beta 90.00
_cell_angle_gamma 90.00
loop_
_atom_site_label
_atom_site_fract_x
_atom_site_fract_y
_atom_site_fract_z
_atom_site_occupancy
Ho1 0.000 0.000 0.000 1
Er1 0.000 0.000 0.333 1
Sb1 0.000 0.000 0.667 1
O1 0.000 0.500 0.416 1

# NdSm2Ho4Th PBE optimized geometry
# calculated formation energy: 0.028 eV per atom
data_NdSm2Ho4Th
_symmetry_space_group_name_H-M 'P m m m'
_symmetry_Int_Tables_number 47
_cell_length_a 5.081
_cell_length_b 5.102
_cell_length_c 9.985
_cell_angle_alpha 90.00
_cell_angle_beta 90.00
_cell_angle_gamma 90.00
loop_
_symmetry_equiv_pos_as_xyz
'x,y,z'
'-x,-y,-z'
'-x,-y,z'
'x,y,-z'
'x,-y,-z'
'-x,y,z'
'-x,y,-z'
'x,-y,z'
loop_
_atom_site_label
_atom_site_fract_x
_atom_site_fract_y
_atom_site_fract_z
_atom_site_occupancy
Nd1 0.000 0.000 0.000 1
Sm1 0.000 0.000 0.500 1
Sm2 0.500 0.500 0.000 1
Ho1 0.000 0.500 0.255 1
Ho2 0.500 0.000 0.255 1
Th1 0.500 0.500 0.500 1

# InMoPt2 PBE optimized geometry
# calculated formation energy: -0.164 eV per atom
data_InMoPt2
_symmetry_space_group_name_H-M 'C 1 m 1'
_symmetry_Int_Tables_number 8
_cell_length_a 9.332
_cell_length_b 2.861
_cell_length_c 5.106
_cell_angle_alpha 90.00
_cell_angle_beta 99.14
_cell_angle_gamma 90.00
loop_
_symmetry_equiv_pos_as_xyz
'x,y,z'
'x,-y,z'
'x+1/2,y+1/2,z'
'x+1/2,-y+1/2,z'
loop_
_atom_site_label
_atom_site_fract_x
_atom_site_fract_y
_atom_site_fract_z
_atom_site_occupancy
In1 0.000 0.000 0.000 1
Mo1 0.246 0.000 0.686 1
Pt1 0.004 0.500 0.506 1
Pt2 0.250 0.500 0.216 1

# Na3NO PBE optimized geometry
# energy relative to the elements, uncorrected: -0.095 eV/atom
# energy above the lowest structure with this stoichiometry: 0.403 eV per atom
data_Na3NO
_symmetry_space_group_name_H-M 'P m -3 m'
_symmetry_Int_Tables_number 221
_symmetry_space_group_name_Hall '-P 4 2 3'
_cell_length_a 4.439
_cell_length_b 4.439
_cell_length_c 4.439
_cell_angle_alpha 90.00
_cell_angle_beta 90.00
_cell_angle_gamma 90.00
loop_
_atom_site_label
_atom_site_fract_x
_atom_site_fract_y
_atom_site_fract_z
_atom_site_occupancy
Na1 0.000 0.000 0.500 1
N1 0.500 0.500 0.500 1
O1 0.000 0.000 0.000 1

# BaPu2IrN4 PBE optimized geometry
# energy relative to the elements, uncorrected: -0.769 eV/atom
data_BaPu2IrN4
_symmetry_space_group_name_H-M 'C m c m'
_symmetry_Int_Tables_number 63
_symmetry_space_group_name_Hall '-C 2c 2'
_cell_length_a 3.603
_cell_length_b 11.951
_cell_length_c 12.049
_cell_angle_alpha 90.00
_cell_angle_beta 90.00
_cell_angle_gamma 90.00
loop_
_atom_site_label
_atom_site_fract_x
_atom_site_fract_y
_atom_site_fract_z
_atom_site_occupancy
Ba1 0.000 0.079 0.250 1
Pu1 0.000 0.367 0.052 1
Ir1 0.000 0.188 0.750 1
N1 0.000 0.000 0.000 1
N2 0.000 0.246 0.592 1
N3 0.000 0.394 0.250 1

# CeEr6In3 PBE optimized geometry
# calculated formation energy: -0.104 eV per atom
data_CeEr6In3
_symmetry_space_group_name_H-M 'C m c 21'
_symmetry_Int_Tables_number 36
_cell_length_a 10.396
_cell_length_b 14.979
_cell_length_c 7.704
_cell_angle_alpha 90.00
_cell_angle_beta 90.00
_cell_angle_gamma 90.00
loop_
_symmetry_equiv_pos_as_xyz
'x,y,z'
'-x,-y,z+1/2'
'-x,y,z'
'x,-y,z+1/2'
'x+1/2,y+1/2,z'
'-x+1/2,-y+1/2,z+1/2'
'-x+1/2,y+1/2,z'
'x+1/2,-y+1/2,z+1/2'
loop_
_atom_site_label
_atom_site_fract_x
_atom_site_fract_y
_atom_site_fract_z
_atom_site_occupancy
Ce1 0.000 0.224 0.000 1
Er1 0.000 0.054 0.716 1
Er2 0.000 0.298 0.539 1
Er3 0.231 0.466 0.524 1
Er4 0.237 0.311 0.211 1
In1 0.000 0.447 0.237 1
In2 0.147 0.130 0.348 1